The following is a PBE-GGA calculation of an optimized crystal structure of Rb2CaPbO4, from the Alexandria database.

Calculated values
Calculated total energy (eV/atom): -4.99
Calculated density (g/cm3): 5.75

a b c (Å): 7.316 7.316 7.316
angles (deg): 120.59 118.57 90.74
Sites, in units of the cell vectors:
1 Rb 0.000 0.000 0.000
2 Rb 0.500 0.000 0.000
3 Rb 0.500 0.000 0.500
4 Rb 0.500 0.500 0.500
5 Ca 0.000 0.500 0.500
6 Ca 0.500 0.500 0.000
7 Pb 0.000 0.000 0.500
8 Pb 0.000 0.500 0.000
9 O 0.190 0.736 0.454
10 O 0.215 0.248 0.533
11 O 0.215 0.682 0.967
12 O 0.219 0.264 0.954
13 O 0.781 0.736 0.046
14 O 0.785 0.318 0.033
15 O 0.785 0.752 0.467
16 O 0.810 0.264 0.546

The following is a PBE-GGA calculation of an optimized crystal structure of CaRe2PbO8, from the Alexandria database.

Calculated values
Calculated total energy (eV/atom): -7.56
Calculated density (g/cm3): 5.46

a b c (Å): 6.048 6.048 7.175
angles (deg): 90.00 90.00 120.00
Sites, in units of the cell vectors:
1 Ca 0.000 0.000 0.000
2 Re 0.333 0.667 0.285
3 Re 0.667 0.333 0.715
4 Pb 0.000 0.000 0.500
5 O 0.167 0.334 0.218
6 O 0.167 0.833 0.218
7 O 0.333 0.667 0.532
8 O 0.334 0.167 0.782
9 O 0.666 0.833 0.218
10 O 0.667 0.333 0.468
11 O 0.833 0.167 0.782
12 O 0.833 0.666 0.782

The following is a PBE-GGA calculation of an optimized crystal structure of CaRePbO6, from the Alexandria database.

Calculated values
Calculated total energy (eV/atom): -7.00
Calculated density (g/cm3): 6.77

a b c (Å): 5.583 5.583 4.810
angles (deg): 90.00 90.00 120.00
Sites, in units of the cell vectors:
1 Ca 0.000 0.000 0.000
2 Re 0.333 0.667 0.000
3 Pb 0.667 0.333 0.500
4 O 0.052 0.385 0.224
5 O 0.052 0.666 0.776
6 O 0.334 0.385 0.776
7 O 0.334 0.948 0.224
8 O 0.615 0.666 0.224
9 O 0.615 0.948 0.776

The following is a PBE-GGA calculation of an optimized crystal structure of CaRePb2O6, from the Alexandria database.

Calculated values
Calculated total energy (eV/atom): -6.88
Calculated density (g/cm3): 8.36

a b c (Å): 6.045 5.884 9.944
angles (deg): 90.00 124.18 90.00
Sites, in units of the cell vectors:
1 Ca 0.000 0.000 0.000
2 Ca 0.000 0.500 0.500
3 Re 0.500 0.000 0.500
4 Re 0.500 0.500 0.000
5 Pb 0.291 0.001 0.758
6 Pb 0.291 0.499 0.258
7 Pb 0.709 0.501 0.742
8 Pb 0.709 0.999 0.242
9 O 0.200 0.001 0.282
10 O 0.200 0.499 0.782
11 O 0.333 0.734 0.058
12 O 0.333 0.766 0.558
13 O 0.335 0.237 0.558
14 O 0.335 0.263 0.058
15 O 0.665 0.737 0.942
16 O 0.665 0.763 0.442
17 O 0.667 0.234 0.442
18 O 0.667 0.266 0.942
19 O 0.800 0.501 0.218
20 O 0.800 0.999 0.718

Question: Number 2 is which compound?
Answer: CaRe2PbO8